(1)
This record from Alexandria describes Zr3Mo after structural relaxation. The functional is PBE.

Cell: 5.7765 5.7765 5.7765 Å, 145.41 63.33 128.73°
Positions (direct):
Zr 0.0000 0.0000 0.0000
Zr 0.2686 0.4886 0.7800
Zr 0.7085 0.4886 0.2200
Mo 0.5257 0.0257 0.5000

Computed properties:
Crystal system: orthorhombic
Magnetic moment (μB per cell): 0.000
Formation energy from the elements (eV per atom): -0.007
Raw total energy (eV/atom): -9.1261

=====

(2)
This record from Alexandria describes Zr4Mo after structural relaxation. The functional is PBE.

Cell: 8.0395 8.0395 8.0395 Å, 151.98 151.98 40.04°
Positions (direct):
Zr 0.0889 0.0889 0.0000
Zr 0.2500 0.7500 0.5000
Zr 0.7500 0.2500 0.5000
Zr 0.9111 0.9111 0.0000
Mo 0.5000 0.5000 0.0000

Computed properties:
Crystal system: tetragonal
Magnetic moment (μB per cell): 0.000
Formation energy from the elements (eV per atom): 0.725
Raw total energy (eV/atom): -8.2797